1.
First-principles (PBE) data for an optimized crystal structure of HfPa6Ta2, as listed in the Alexandria database.

The calculation puts the energy relative to the elements at 3 kJ/mol of atoms.

Cell and atoms, written as extended XYZ:
```
9
Lattice="2.979 0.057 -0.167 -0.391 7.686 -4.361 0.495 -0.054 8.832" Properties=species:S:1:pos:R:3 pbc="T T T"
Hf 0.000 0.000 0.000
Ta -0.095 5.106 0.037
Pa 1.525 2.581 1.412
Pa 1.819 -0.007 5.795
Pa 1.725 5.090 5.846
Pa 1.559 5.108 2.893
Pa 1.265 7.697 -1.490
Ta 3.179 2.583 4.268
Pa 1.854 2.545 7.290
```



2.
First-principles (PBE) data for an optimized crystal structure of TaBP2O, as listed in the Alexandria database.

The polymorph energy (0 for the lowest one) is 0.000 eV/atom. The uncorrected formation energy comes out at -0.024 eV per atom.

Cell and atoms, written as extended XYZ:
```
5
Lattice="4.928 0.000 0.000 0.000 4.928 0.000 0.000 0.000 2.677" Properties=species:S:1:pos:R:3 pbc="T T T"
P 2.464 0.000 0.000
O 0.000 0.000 1.339
Ta 2.464 2.464 1.339
B 0.000 0.000 0.000
P 0.000 2.464 0.000
```



no.,spin magnetization (μB per cell)
1,0.0
2,0.0